# 1
NaTlS2: relaxed, GGA-PBE.

The structure in POSCAR format:
```
NaTlS2
1.0
7.9605 0.0076 -0.0358
2.0751 7.5077 -0.0374
0.6624 -2.0726 3.7702
Na S Tl
2 4 2
direct
0.2567 0.6074 0.8302 Na
0.9893 0.1652 0.3407 Na
0.1749 0.3101 0.9694 S
0.0893 0.8759 0.5923 S
0.2832 0.0095 0.5500 S
0.6332 0.4355 0.6544 S
0.5888 0.1682 0.9622 Tl
0.7459 0.6407 0.2744 Tl
```

Values from the calculation:
* total moment: 0.00 μB per cell
* formation energy (no corrections): -0.54 eV per atom
* DFT total energy: -28.2 eV per cell
* crystal system: triclinic


# 2
NbAsPCl2: relaxed, GGA-PBE.

The structure in POSCAR format:
```
NbAsPCl2
1.0
4.7862 0.0000 0.0000
0.0000 4.7862 0.0000
0.0000 0.0000 5.1481
P Nb As Cl
1 1 1 2
direct
0.0000 0.0000 0.5000 P
0.0000 0.0000 0.0000 Nb
0.5000 0.5000 0.5000 As
0.0000 0.5000 0.0000 Cl
0.5000 0.0000 0.0000 Cl
```

Values from the calculation:
* total moment: 2.28 μB per cell
* formation energy (no corrections): 0.13 eV per atom
* DFT total energy: -23.2 eV per cell
* crystal system: tetragonal
* energy above the most stable polymorph in this dataset: 0 kJ/mol of formula units


# 3
AcInPd2: relaxed, GGA-PBE.

The structure in POSCAR format:
```
AcInPd2
1.0
3.5863 0.0000 0.0000
0.0000 3.5863 0.0000
0.0000 0.0000 7.0602
Ac Pd In
1 2 1
direct
0.5000 0.5000 0.5000 Ac
0.0000 0.0000 0.7968 Pd
0.0000 0.0000 0.2032 Pd
0.5000 0.5000 0.0000 In
```

Values from the calculation:
* total moment: 0.00 μB per cell
* DFT total energy: -19.5 eV per cell
* crystal system: tetragonal
* ΔH_f (0 K): -215 kJ/mol of formula units